Compound: PrMg6Zn6
Source: the Alexandria database
Functional: GGA-PBE
Structure: relaxed

Geometry as extended XYZ:
```
13
Lattice="-2.758 4.719 4.780 2.758 -4.719 4.780 2.758 4.719 -4.780" Properties=species:S:1:pos:R:3 pbc="T T T"
Pr 0.000 0.000 0.000
Mg 2.758 1.883 0.000
Mg 0.000 0.000 3.314
Mg 0.000 3.285 0.000
Mg 0.000 6.153 0.000
Mg 0.000 0.000 6.247
Mg 0.000 2.835 4.780
Zn 1.379 2.359 -2.390
Zn 1.379 -2.359 2.390
Zn 2.758 0.000 2.148
Zn -1.379 2.359 2.390
Zn 1.379 2.359 2.390
Zn 0.000 4.719 2.633
```

Calculated values
ΔE_f (eV per atom): -0.1830
DOS at the Fermi energy (states/eV/f.u.): 3.96
Volume (A^3/atom): 19.1


Compound: Pr3Mg4Zn4
Source: the Alexandria database
Functional: GGA-PBE
Structure: relaxed

Geometry as extended XYZ:
```
11
Lattice="3.610 0.000 0.000 -0.003 4.823 0.000 -1.781 -2.373 14.958" Properties=species:S:1:pos:R:3 pbc="T T T"
Pr 0.000 0.000 0.000
Pr 0.007 2.424 4.276
Pr 1.819 0.026 10.682
Mg 0.010 0.020 7.723
Mg 0.010 2.443 12.177
Mg 1.816 0.007 2.782
Mg 1.815 2.430 7.235
Zn 0.012 2.434 9.419
Zn 0.020 0.031 13.595
Zn 1.806 2.419 1.364
Zn 1.814 0.017 5.540
```

Calculated values
ΔE to the lowest computed polymorph (meV/atom): 7.0
ΔE_f (eV per atom): -0.1989
DOS at the Fermi energy (states/eV/f.u.): 8.66
Volume (A^3/atom): 23.7